Ce3Er4Pb4: relaxed, GGA-PBE.

## Properties
* final energy: -4.821 eV/atom
* magnetic moment: 10.06 Bohr magnetons per cell
* formation enthalpy at 0 K: -0.195 eV per atom

a = 3.6542 Å, b = 5.3921 Å, c = 33.7941 Å
α = 90.00°, β = 90.00°, γ = 90.00°
Space group Immm (No. 71)
Asymmetric unit:
Ce 0.0000 0.0000 0.0000
Ce 0.0000 0.5000 0.1428
Er 0.0000 0.0000 0.2650
Er 0.0000 0.5000 0.4088
Pb 0.0000 0.0000 0.4515
Pb 0.0000 0.5000 0.3167